#P
Here is a geometry-optimized NbCNF2 structure from Alexandria. Energies are from PBE. Values from VASP.

Quantum ESPRESSO input file:
```
&SYSTEM
  ibrav = 0, nat = 5, ntyp = 4
/
ATOMIC_SPECIES
Nb 92.91 Nb.upf
N 14.01 N.upf
F 19.00 F.upf
C 12.01 C.upf
CELL_PARAMETERS angstrom
-0.076 -4.711 -0.408
3.698 -0.313 2.931
-1.539 -0.142 1.927
ATOMIC_POSITIONS angstrom
Nb 1.041 -2.583 2.225
N -0.770 -0.071 0.963
F 1.849 -0.157 1.466
F -0.038 -2.355 -0.204
C 0.000 0.000 0.000
```

=====

#Q
Here is a geometry-optimized NbCNF2 structure from Alexandria. Energies are from PBE. Values from VASP.

Quantum ESPRESSO input file:
```
&SYSTEM
  ibrav = 0, nat = 5, ntyp = 4
/
ATOMIC_SPECIES
C 12.01 C.upf
Nb 92.91 Nb.upf
F 19.00 F.upf
N 14.01 N.upf
CELL_PARAMETERS angstrom
-1.837 -2.367 -2.805
-0.498 -2.947 2.813
-3.572 1.571 1.014
ATOMIC_POSITIONS angstrom
C -2.954 -1.871 0.511
Nb 0.000 0.000 0.000
F -0.249 -1.474 1.406
F -0.919 -1.183 -1.403
N -1.786 0.786 0.507
```

=====

Top of the stability list: #P, leading by 0.182 eV/atom.